Tl3CuRh2O6 | PBE-GGA | optimized geometry

Cell lengths 5.548, 9.605, 6.625 Å; angles 90.00, 106.35, 90.00 degrees
Space group C2/m (No. 12)
One atom of each set of equivalent atoms:
Tl: 0.000 0.000 0.000
Tl: 0.000 0.334 0.000
Cu: 0.000 0.500 0.500
Rh: 0.000 0.167 0.500
O: 0.213 0.000 0.651
O: 0.220 0.331 0.652

**Total energy**: -5.185 eV/atom
**E_form (uncorrected)**: -53 kJ/mol of atoms